Entry 1:
Computed, not measured: a relaxed Hg2MoP crystal at the PBE level of DFT.

```
Hg2MoP
1.0
2.876 0.000 0.000
0.000 2.876 0.000
0.000 0.000 9.215
P Mo Hg
1 1 2
direct
0.500 0.500 0.500 P
0.500 0.500 0.000 Mo
0.000 0.000 0.759 Hg
0.000 0.000 0.241 Hg
```

Values from the calculation:
Energy relative to the lowest polymorph listed for this composition: 666 meV/atom
Total DFT energy (no corrections): -3.453 eV per atom
N(E_F): 3.48 states/eV/cell
ΔE_f: 0.76 eV per atom
Space-group type: P4/mmm (123)

***

Entry 2:
Computed, not measured: a relaxed HgMo2P crystal at the PBE level of DFT.

```
HgMo2P
1.0
3.442 0.000 0.000
0.000 3.080 -0.002
0.000 1.130 6.304
Hg Mo P
1 2 1
direct
0.500 0.500 0.500 Hg
0.000 0.885 0.804 Mo
0.000 0.115 0.196 Mo
0.500 0.500 0.000 P
```

Values from the calculation:
Energy relative to the lowest polymorph listed for this composition: 152 meV/atom
Total DFT energy (no corrections): -6.656 eV per atom
N(E_F): 2.35 states/eV/cell
ΔE_f: 0.19 eV per atom
Space-group type: P2/m (10)

***

Entry 3:
Computed, not measured: a relaxed HgMo2P crystal at the PBE level of DFT.

```
HgMo2P
1.0
3.144 0.000 0.000
0.000 3.144 0.000
0.000 0.000 6.991
P Mo Hg
1 2 1
direct
0.000 0.000 0.427 P
0.000 0.000 0.042 Mo
0.500 0.500 0.281 Mo
0.500 0.500 0.750 Hg
```

Values from the calculation:
Energy relative to the lowest polymorph listed for this composition: 103 meV/atom
Total DFT energy (no corrections): -6.704 eV per atom
N(E_F): 3.95 states/eV/cell
ΔE_f: 0.14 eV per atom
Space-group type: P4mm (99)

***

Among the records above, which one has the lowest ΔE_f? number 3

***

Look up the total DFT energy (no corrections) of the second one. -6.656 eV per atom

***

Look up the energy relative to the lowest polymorph listed for this composition of the third one. 103 meV/atom

***

Which value of total DFT energy (no corrections) does entry 3 give? -6.704 eV per atom